Entry 1:
# K2Ac2TiO6 | Alexandria via LeMat-Bulk | PBE-GGA | optimized geometry
# - uncorrected energy (eV/cell) = -77.299
# - formation energy without anion corrections (eV/atom) = -2.66
# - ρ (g/cm³) = 5.2
data_K2Ac2TiO6
_space_group_name_H-M_alt 'P 1'
_space_group_IT_number 1
_cell_length_a 6.169
_cell_length_b 6.169
_cell_length_c 6.601
_cell_angle_alpha 96.68
_cell_angle_beta 96.68
_cell_angle_gamma 118.87
loop_
_space_group_symop_operation_xyz
'x,y,z'
loop_
_atom_site_label
_atom_site_type_symbol
_atom_site_fract_x
_atom_site_fract_y
_atom_site_fract_z
K1 K 0.853 0.147 0.000
K2 K 0.147 0.853 0.000
Ac1 Ac 0.336 0.664 0.500
Ac2 Ac 0.664 0.336 0.500
Ti1 Ti 0.000 0.000 0.500
O1 O 0.779 0.779 0.677
O2 O 0.037 0.325 0.667
O3 O 0.221 0.221 0.323
O4 O 0.325 0.037 0.667
O5 O 0.963 0.675 0.333
O6 O 0.675 0.963 0.333

=====

Entry 2:
# Ba2Mg5Ga3 | Alexandria via LeMat-Bulk | PBE-GGA | optimized geometry
# - uncorrected energy (eV/cell) = -22.927
# - ρ (g/cm³) = 3.6
# - relative energy among the computed polymorphs (eV per formula unit) = 0.26
# - formation enthalpy at 0 K (eV/f.u.) = -2.03
data_Ba2Mg5Ga3
_space_group_name_H-M_alt 'P 1'
_space_group_IT_number 1
_cell_length_a 4.690
_cell_length_b 4.690
_cell_length_c 12.615
_cell_angle_alpha 90.00
_cell_angle_beta 90.00
_cell_angle_gamma 90.00
loop_
_space_group_symop_operation_xyz
'x,y,z'
loop_
_atom_site_label
_atom_site_type_symbol
_atom_site_fract_x
_atom_site_fract_y
_atom_site_fract_z
Ba1 Ba 0.500 0.000 0.279
Ba2 Ba 0.000 0.500 0.721
Mg1 Mg 0.500 0.500 0.000
Mg2 Mg 0.000 0.000 0.000
Mg3 Mg 0.500 0.000 0.843
Mg4 Mg 0.000 0.500 0.157
Mg5 Mg 0.500 0.500 0.500
Ga1 Ga 0.500 0.000 0.620
Ga2 Ga 0.000 0.500 0.380
Ga3 Ga 0.000 0.000 0.500

=====

Entry 3:
# In4HgAs | Alexandria via LeMat-Bulk | PBE-GGA | optimized geometry
# - uncorrected energy (eV/cell) = -14.211
# - ρ (g/cm³) = 7.3
# - formation enthalpy at 0 K (eV/f.u.) = 1.69
data_In4HgAs
_space_group_name_H-M_alt 'P 1'
_space_group_IT_number 1
_cell_length_a 6.178
_cell_length_b 6.178
_cell_length_c 6.178
_cell_angle_alpha 60.00
_cell_angle_beta 60.00
_cell_angle_gamma 60.00
loop_
_space_group_symop_operation_xyz
'x,y,z'
loop_
_atom_site_label
_atom_site_type_symbol
_atom_site_fract_x
_atom_site_fract_y
_atom_site_fract_z
In1 In 0.874 0.375 0.375
In2 In 0.375 0.375 0.874
In3 In 0.375 0.874 0.375
In4 In 0.375 0.375 0.375
Hg1 Hg 0.000 0.000 0.000
As1 As 0.750 0.750 0.750

=====

Entry 4:
# GdDy2Pb | Alexandria via LeMat-Bulk | PBE-GGA | optimized geometry
# - uncorrected energy (eV/cell) = -26.798
# - ρ (g/cm³) = 8.8
# - relative energy among the computed polymorphs (eV per formula unit) = 1.39
# - formation enthalpy at 0 K (eV/f.u.) = 0.20
data_GdDy2Pb
_space_group_name_H-M_alt 'P 1'
_space_group_IT_number 1
_cell_length_a 3.532
_cell_length_b 3.532
_cell_length_c 12.209
_cell_angle_alpha 81.68
_cell_angle_beta 81.68
_cell_angle_gamma 60.00
loop_
_space_group_symop_operation_xyz
'x,y,z'
loop_
_atom_site_label
_atom_site_type_symbol
_atom_site_fract_x
_atom_site_fract_y
_atom_site_fract_z
Pb1 Pb 0.000 0.000 0.000
Gd1 Gd 0.500 0.500 0.500
Dy1 Dy 0.088 0.088 0.737
Dy2 Dy 0.912 0.912 0.263

=====

Entry 5:
# Nd2UP3 | Alexandria via LeMat-Bulk | PBE-GGA | optimized geometry
# - uncorrected energy (eV/cell) = -90.158
# - ρ (g/cm³) = 7.1
# - relative energy among the computed polymorphs (eV per formula unit) = 0.00
# - formation enthalpy at 0 K (eV/f.u.) = -8.03
data_Nd2UP3
_space_group_name_H-M_alt 'P 1'
_space_group_IT_number 1
_cell_length_a 5.769
_cell_length_b 8.124
_cell_length_c 7.100
_cell_angle_alpha 106.63
_cell_angle_beta 113.97
_cell_angle_gamma 90.00
loop_
_space_group_symop_operation_xyz
'x,y,z'
loop_
_atom_site_label
_atom_site_type_symbol
_atom_site_fract_x
_atom_site_fract_y
_atom_site_fract_z
Nd1 Nd 0.668 0.584 0.337
Nd2 Nd 0.668 0.084 0.337
Nd3 Nd 0.332 0.916 0.663
Nd4 Nd 0.332 0.416 0.663
U1 U 0.000 0.750 0.000
U2 U 0.000 0.250 0.000
P1 P 0.500 0.250 0.000
P2 P 0.500 0.750 0.000
P3 P 0.155 0.078 0.310
P4 P 0.845 0.422 0.690
P5 P 0.155 0.578 0.310
P6 P 0.845 0.922 0.690

=====

Entry 6:
# Pu2H12RuRh3 | Alexandria via LeMat-Bulk | PBE-GGA | optimized geometry
# - uncorrected energy (eV/cell) = -103.353
# - ρ (g/cm³) = 9.6
data_Pu2H12RuRh3
_space_group_name_H-M_alt 'P 1'
_space_group_IT_number 1
_cell_length_a 6.034
_cell_length_b 6.034
_cell_length_c 6.034
_cell_angle_alpha 60.51
_cell_angle_beta 60.51
_cell_angle_gamma 60.51
loop_
_space_group_symop_operation_xyz
'x,y,z'
loop_
_atom_site_label
_atom_site_type_symbol
_atom_site_fract_x
_atom_site_fract_y
_atom_site_fract_z
Pu1 Pu 0.619 0.619 0.619
Pu2 Pu 0.381 0.381 0.381
H1 H 0.340 0.340 0.865
H2 H 0.896 0.896 0.354
H3 H 0.354 0.896 0.896
H4 H 0.865 0.340 0.340
H5 H 0.896 0.354 0.896
H6 H 0.340 0.865 0.340
H7 H 0.660 0.660 0.135
H8 H 0.104 0.104 0.646
H9 H 0.646 0.104 0.104
H10 H 0.135 0.660 0.660
H11 H 0.104 0.646 0.104
H12 H 0.660 0.135 0.660
Ru1 Ru 0.000 0.000 0.000
Rh1 Rh 0.500 0.000 0.000
Rh2 Rh 0.000 0.500 0.000
Rh3 Rh 0.000 0.000 0.500

=====

Entry 7:
# AlTeOs2 | Alexandria via LeMat-Bulk | PBE-GGA | optimized geometry
# - uncorrected energy (eV/cell) = -53.736
# - formation energy without anion corrections (eV/atom) = 0.62
# - ρ (g/cm³) = 12.1
# - relative energy among the computed polymorphs (eV per formula unit) = 1.40
data_AlTeOs2
_space_group_name_H-M_alt 'P 1'
_space_group_IT_number 1
_cell_length_a 4.161
_cell_length_b 4.161
_cell_length_c 8.948
_cell_angle_alpha 76.56
_cell_angle_beta 76.56
_cell_angle_gamma 90.00
loop_
_space_group_symop_operation_xyz
'x,y,z'
loop_
_atom_site_label
_atom_site_type_symbol
_atom_site_fract_x
_atom_site_fract_y
_atom_site_fract_z
Te1 Te 0.000 0.000 0.000
Te2 Te 0.750 0.250 0.500
Os1 Os 0.582 0.125 0.250
Os2 Os 0.168 0.625 0.250
Os3 Os 0.375 0.418 0.750
Os4 Os 0.875 0.832 0.750
Al1 Al 0.500 0.500 0.000
Al2 Al 0.250 0.750 0.500

=====

Entry 8:
# KTc2Rh | Alexandria via LeMat-Bulk | PBE-GGA | optimized geometry
# - uncorrected energy (eV/cell) = -23.631
# - ρ (g/cm³) = 8.2
# - relative energy among the computed polymorphs (eV per formula unit) = 3.30
# - formation enthalpy at 0 K (eV/f.u.) = 5.55
data_KTc2Rh
_space_group_name_H-M_alt 'P 1'
_space_group_IT_number 1
_cell_length_a 5.417
_cell_length_b 5.417
_cell_length_c 5.417
_cell_angle_alpha 138.59
_cell_angle_beta 138.59
_cell_angle_gamma 60.00
loop_
_space_group_symop_operation_xyz
'x,y,z'
loop_
_atom_site_label
_atom_site_type_symbol
_atom_site_fract_x
_atom_site_fract_y
_atom_site_fract_z
K1 K 0.250 0.750 0.500
Rh1 Rh 0.750 0.250 0.500
Tc1 Tc 0.000 0.000 0.000
Tc2 Tc 0.500 0.500 0.000

=====

Question: Which of these has the lowest uncorrected energy?
Answer: Pu2H12RuRh3

=====

Question: The highest ρ belongs to which entry?
Answer: AlTeOs2